The following is a PBE calculation of crystalline PSeF2 at its relaxed geometry, from Alexandria via LeMat-Bulk.

- density (g/cm³) = 3.77
- calculated total energy (Ha/atom) = -0.15167
- formation energy (no corrections) (eV/atom) = -0.97

Unit cell a=2.7536 b=2.7536 c=29.7475 alpha=90.00 beta=90.00 gamma=120.00
Last column: nearest neighbours and their distance in Å.
Space group R-3m (No. 166, hexagonal axes)
Asymmetric unit:
P (0.0000, 0.0000, 0.0000)  2 F 1.65
Se (0.0000, 0.0000, 0.5000)  6 Se 2.75
F (0.0000, 0.0000, 0.0556)  1 P 1.65

The following is a PBE calculation of crystalline Pr5SiPb2 at its relaxed geometry, from Alexandria via LeMat-Bulk.

- density (g/cm³) = 7.39
- calculated total energy (Ha/atom) = -0.18880
- formation energy (no corrections) (eV/atom) = -0.55

Unit cell a=8.5050 b=12.8468 c=4.7190 alpha=90.00 beta=90.00 gamma=90.00
Last column: nearest neighbours and their distance in Å.
Space group Pbam (No. 55)
Asymmetric unit:
Pr (0.0000, 0.0000, 0.0000)  4 Pb 3.31, 4 Pr 3.62
Pr (0.1447, 0.2917, 0.0000)  1 Si 2.94
Pr (0.1928, 0.5662, 0.5000)  2 Si 3.00
Si (0.0000, 0.5000, 0.0000)  6 Pr 2.94-3.00
Pb (0.0794, 0.8271, 0.5000)  9 Pr 3.31-3.63

The following is a PBE calculation of crystalline La2PrSm2Y2 at its relaxed geometry, from Alexandria via LeMat-Bulk.

- density (g/cm³) = 6.13
- calculated total energy (Ha/atom) = -0.19343
- energy relative to the elements (eV per atom) = 0.022

Unit cell a=11.5696 b=5.1781 c=8.1910 alpha=90.00 beta=98.07 gamma=90.00
Last column: nearest neighbours and their distance in Å.
Space group C2/m (No. 12)
Asymmetric unit:
La (0.1426, 0.0000, 0.4286)  3 La 3.65-3.67, 5 Sm 3.66-3.68, 1 Pr 3.66, 3 Y 3.68
Pr (0.0000, 0.0000, 0.0000)  6 Y 3.63-3.66, 4 Sm 3.65, 2 La 3.66
Sm (0.0711, 0.5000, 0.7167)  4 Y 3.63-3.67, 2 Pr 3.65, 5 La 3.66-3.68, 1 Sm 3.70
Y (0.2155, 0.5000, 0.1397)  2 Y 3.62, 4 Sm 3.63-3.67, 3 Pr 3.63-3.66, 3 La 3.68

The following is a PBE calculation of crystalline Nd3DyY6Th2 at its relaxed geometry, from Alexandria via LeMat-Bulk.

- density (g/cm³) = 6.72
- calculated total energy (Ha/atom) = -0.22146
- energy relative to the elements (eV per atom) = 0.018

Unit cell a=6.2409 b=10.8029 c=11.8557 alpha=90.00 beta=100.11 gamma=90.00
Last column: nearest neighbours and their distance in Å.
Space group C2/m (No. 12)
Asymmetric unit:
Nd (0.0000, 0.0000, 0.0000)  6 Nd 3.60, 6 Y 3.62-3.64
Nd (0.0000, 0.3337, 0.0000)  6 Nd 3.59-3.61, 6 Y 3.62-3.64
Dy (0.0000, 0.5000, 0.5000)  6 Y 3.55, 6 Th 3.60
Y (0.2441, 0.0000, 0.7451)  2 Th 3.53, 1 Dy 3.55, 6 Y 3.58-3.65, 3 Nd 3.62-3.64
Y (0.2497, 0.1687, 0.2553)  2 Th 3.53, 1 Dy 3.55, 6 Y 3.58-3.65, 3 Nd 3.62-3.64
Th (0.0000, 0.1666, 0.5000)  6 Y 3.53, 3 Th 3.60, 3 Dy 3.60

The following is a PBE calculation of crystalline Na3TlNi2H8 at its relaxed geometry, from Alexandria via LeMat-Bulk.

- density (g/cm³) = 4.00
- calculated total energy (Ha/atom) = -0.11348

Unit cell a=5.2970 b=5.2970 c=6.8164 alpha=90.00 beta=90.00 gamma=120.00
Last column: nearest neighbours and their distance in Å.
Space group P-3m1 (No. 164)
Asymmetric unit:
Na (0.0000, 0.0000, 0.0000)  12 H 2.77-3.07
Na (0.3333, 0.6667, 0.6557)  1 H 2.07
Tl (0.0000, 0.0000, 0.5000)  6 H 2.16
Ni (0.3333, 0.6667, 0.1875)  4 H 1.55-1.57
H (0.1907, 0.3814, 0.3144)  1 Ni 1.57
H (0.3333, 0.6667, 0.9594)  1 Ni 1.55

The following is a PBE calculation of crystalline CaLuGa2 at its relaxed geometry, from Alexandria via LeMat-Bulk.

- density (g/cm³) = 6.38
- calculated total energy (Ha/atom) = -0.13416
- energy relative to the elements (eV per atom) = -0.507

Unit cell a=3.5749 b=3.5749 c=7.2187 alpha=90.00 beta=90.00 gamma=90.00
Last column: nearest neighbours and their distance in Å.
Space group P4/mmm (No. 123)
Asymmetric unit:
Ca (0.0000, 0.0000, 0.0000)  8 Ga 3.18
Lu (0.0000, 0.0000, 0.5000)  8 Ga 3.04
Ga (0.5000, 0.5000, 0.2665)  4 Lu 3.04, 4 Ca 3.18, 1 Ga 3.37

The following is a PBE calculation of crystalline Cs3Li2NdI8 at its relaxed geometry, from Alexandria via LeMat-Bulk.

- density (g/cm³) = 3.73
- calculated total energy (Ha/atom) = -0.11257
- formation energy (no corrections) (eV/atom) = -1.38

Unit cell a=8.6042 b=8.6042 c=10.9114 alpha=90.00 beta=90.00 gamma=120.00
Last column: nearest neighbours and their distance in Å.
Space group P-3m1 (No. 164)
Asymmetric unit:
Cs (0.0000, 0.0000, 0.0000)  6 I 4.36
Cs (0.3333, 0.6667, 0.6302)  1 I 3.63
Li (0.3333, 0.6667, 0.2000)  4 I 2.58-2.85
Nd (0.0000, 0.0000, 0.5000)  6 I 3.11
I (0.1667, 0.3333, 0.3283)  1 Li 2.85, 1 Nd 3.11
I (0.3333, 0.6667, 0.9631)  1 Li 2.58

The following is a PBE calculation of crystalline HfCrN2 at its relaxed geometry, from Alexandria via LeMat-Bulk.

- density (g/cm³) = 8.38
- calculated total energy (Ha/atom) = -0.36647
- formation energy (no corrections) (eV/atom) = -0.92

Unit cell a=4.6323 b=4.6323 c=9.5452 alpha=90.00 beta=90.00 gamma=90.00
Last column: nearest neighbours and their distance in Å.
Space group I-42d (No. 122)
Asymmetric unit:
Hf (0.0000, 0.0000, 0.0000)  4 N 2.09
Cr (0.0000, 0.0000, 0.5000)  4 N 1.97
N (0.2270, 0.2500, 0.6250)  2 Cr 1.97, 2 Hf 2.09

The following is a PBE calculation of crystalline Ac4PmPr6 at its relaxed geometry, from Alexandria via LeMat-Bulk.

- density (g/cm³) = 7.11
- calculated total energy (Ha/atom) = -0.15776
- energy relative to the elements (eV per atom) = 0.240

Unit cell a=7.2493 b=7.2493 c=16.8782 alpha=90.00 beta=90.00 gamma=90.00
Last column: nearest neighbours and their distance in Å.
Space group I-42m (No. 121)
Asymmetric unit:
Ac (0.1933, 0.1933, 0.3202)  1 Pm 3.63, 5 Pr 3.67-4.01, 1 Ac 3.96
Pm (0.0000, 0.0000, 0.5000)  8 Pr 3.62-3.82, 4 Ac 3.63
Pr (0.0000, 0.5000, 0.0000)  4 Pr 3.21
Pr (0.1685, 0.1685, 0.1035)  3 Pr 3.21-3.45

The following is a PBE calculation of crystalline Mg2Bi4Pb5 at its relaxed geometry, from Alexandria via LeMat-Bulk.

- density (g/cm³) = 9.19
- calculated total energy (Ha/atom) = -0.12576
- energy relative to the elements (eV per atom) = -0.035

Unit cell a=4.6683 b=8.6707 c=9.0568 alpha=78.47 beta=75.31 gamma=89.26
Last column: nearest neighbours and their distance in Å.
Space group P-1 (No. 2)
Asymmetric unit:
Mg (0.1792, 0.3851, 0.1439)  4 Bi 3.04-3.12, 2 Pb 3.37-3.40
Bi (0.1189, 0.0283, 0.2760)  1 Mg 3.07, 3 Pb 3.26-3.36
Bi (0.3619, 0.4173, 0.7825)  3 Mg 3.04-3.12, 2 Pb 3.37
Pb (0.0000, 0.5000, 0.5000)  4 Bi 3.37, 2 Mg 3.46, 4 Pb 3.47
Pb (0.2524, 0.8345, 0.9932)  5 Bi 3.26-3.54, 2 Mg 3.37-3.40
Pb (0.4802, 0.7898, 0.5267)  6 Bi 3.46-3.63, 3 Pb 3.47-3.58, 2 Mg 3.78-3.79

The following is a PBE calculation of crystalline PaAg2Pd5 at its relaxed geometry, from Alexandria via LeMat-Bulk.

- density (g/cm³) = 11.76
- calculated total energy (Ha/atom) = -0.20702
- energy relative to the elements (eV per atom) = -0.488

Unit cell a=4.1569 b=4.1569 c=15.9941 alpha=90.00 beta=90.00 gamma=90.00
Last column: nearest neighbours and their distance in Å.
Space group I4/mmm (No. 139)
Asymmetric unit:
Pa (0.0000, 0.0000, 0.0000)  12 Pd 2.85-2.94
Ag (0.0000, 0.0000, 0.2532)  8 Pd 2.88-2.95, 4 Ag 2.94
Pd (0.0000, 0.0000, 0.5000)  8 Pd 2.85, 4 Pa 2.94
Pd (0.0000, 0.5000, 0.1223)  2 Pa 2.85, 6 Pd 2.85-2.94, 4 Ag 2.88-2.95

The following is a PBE calculation of crystalline Tb3BCl3 at its relaxed geometry, from Alexandria via LeMat-Bulk.

- density (g/cm³) = 5.96
- calculated total energy (Ha/atom) = -0.19254
- formation energy (no corrections) (eV/atom) = -1.51

Unit cell a=10.9807 b=10.9807 c=10.9807 alpha=90.00 beta=90.00 gamma=90.00
Last column: nearest neighbours and their distance in Å.
Space group I4_132 (No. 214)
Asymmetric unit:
Tb (0.1097, 0.3597, 0.1250)  2 B 2.58, 2 Cl 2.81
B (0.1250, 0.1250, 0.1250)  6 Tb 2.58
Cl (0.1202, 0.1298, 0.6250)  4 Tb 2.81-2.92